Fe2Au: relaxed, PBE.

Cell: 6.0195 6.0195 6.0195 Å, 90.00 90.00 90.00°
Last column: nearest neighbours and their distance in Å.
Fractional coordinates of all 12 atoms:
Au 0.0000 0.0000 0.0000  6 Fe 2.52
Au 0.0000 0.5000 0.5000  6 Fe 2.52
Au 0.5000 0.0000 0.5000  6 Fe 2.52
Au 0.5000 0.5000 0.0000  6 Fe 2.52
Fe 0.1147 0.6147 0.8853  1 Fe 2.39, 3 Au 2.52
Fe 0.1147 0.8853 0.3853  1 Fe 2.39, 3 Au 2.52
Fe 0.3853 0.1147 0.8853  1 Fe 2.39, 3 Au 2.52
Fe 0.3853 0.3853 0.3853  1 Fe 2.39, 3 Au 2.52
Fe 0.6147 0.6147 0.6147  1 Fe 2.39, 3 Au 2.52
Fe 0.6147 0.8853 0.1147  1 Fe 2.39, 3 Au 2.52
Fe 0.8853 0.1147 0.6147  1 Fe 2.39, 3 Au 2.52
Fe 0.8853 0.3853 0.1147  1 Fe 2.39, 3 Au 2.52

DOS(E_F) (states/eV per cell): 12.91
Space group: Pa-3
Total DFT energy (no corrections) (eV/cell): -70.09